A geometry-optimized BaBeFeP2 structure. Source: OQMD via LeMat-Bulk, functional PBE.

Structure (CIF):
```
data_BaBeFeP2
_chemical_formula_sum 'Ba2 Be2 Fe2 P4'
_cell_length_a 3.791
_cell_length_b 3.791
_cell_length_c 12.478
_cell_angle_alpha 90.00
_cell_angle_beta 90.00
_cell_angle_gamma 90.00
_symmetry_space_group_name_H-M 'I -4 m 2'
_symmetry_Int_Tables_number 119
_symmetry_space_group_name_Hall 'I -4 -2'
loop_
_atom_site_label
_atom_site_fract_x
_atom_site_fract_y
_atom_site_fract_z
_atom_site_occupancy
Ba1 0.000 0.000 0.000 1
Be1 0.000 0.500 0.250 1
Fe1 0.000 0.500 0.750 1
P1 0.000 0.000 0.343 1
```

Results
Calculated density in g/cm³: 4.9
Total magnetization in μB/atom: 0.173


A geometry-optimized NaTbTe3Pb structure. Source: OQMD via LeMat-Bulk, functional PBE.

Structure (CIF):
```
data_NaTbTe3Pb
_chemical_formula_sum 'Na4 Tb4 Te12 Pb4'
_cell_length_a 4.517
_cell_length_b 14.700
_cell_length_c 11.620
_cell_angle_alpha 90.00
_cell_angle_beta 90.00
_cell_angle_gamma 90.00
_symmetry_space_group_name_H-M 'C m c m'
_symmetry_Int_Tables_number 63
_symmetry_space_group_name_Hall '-C 2c 2'
loop_
_atom_site_label
_atom_site_fract_x
_atom_site_fract_y
_atom_site_fract_z
_atom_site_occupancy
Na1 0.000 0.025 0.250 1
Tb1 0.000 0.500 0.000 1
Te1 0.000 0.143 0.049 1
Te2 0.000 0.400 0.250 1
Pb1 0.000 0.258 0.750 1
```

Results
Calculated density in g/cm³: 6.6
Total magnetization in μB/atom: 0.000


A geometry-optimized Cd2P2H20C26N4O11 structure. Source: OQMD via LeMat-Bulk, functional PBE.

Structure (CIF):
```
data_Cd2P2H20C26N4O11
_chemical_formula_sum 'Cd2 P2 H20 C26 N4 O11'
_cell_length_a 7.618
_cell_length_b 9.490
_cell_length_c 10.488
_cell_angle_alpha 111.03
_cell_angle_beta 93.54
_cell_angle_gamma 103.29
_symmetry_space_group_name_H-M 'P 1'
_symmetry_Int_Tables_number 1
_symmetry_space_group_name_Hall 'P 1'
loop_
_atom_site_label
_atom_site_fract_x
_atom_site_fract_y
_atom_site_fract_z
_atom_site_occupancy
Cd1 0.000 0.000 0.000 1
Cd2 0.414 0.293 0.215 1
P1 0.159 0.386 0.004 1
P2 0.292 0.908 0.175 1
H1 0.026 0.319 0.883 1
H2 0.026 0.453 0.186 1
H3 0.096 0.257 0.657 1
H4 0.106 0.681 0.155 1
H5 0.153 0.162 0.410 1
H6 0.175 0.782 0.403 1
H7 0.252 0.536 0.816 1
H8 0.281 0.139 0.814 1
H9 0.333 0.051 0.564 1
H10 0.446 0.797 0.847 1
H11 0.526 0.044 0.327 1
H12 0.606 0.409 0.908 1
H13 0.641 0.968 0.749 1
H14 0.658 0.597 0.163 1
H15 0.669 0.291 0.665 1
H16 0.722 0.701 0.034 1
H17 0.781 0.001 0.548 1
H18 0.793 0.336 0.462 1
H19 0.820 0.882 0.299 1
H20 0.972 0.514 0.367 1
C1 0.019 0.777 0.700 1
C2 0.043 0.718 0.560 1
C3 0.155 0.821 0.511 1
C4 0.184 0.337 0.620 1
C5 0.211 0.022 0.738 1
C6 0.215 0.283 0.483 1
C7 0.242 0.972 0.601 1
C8 0.266 0.491 0.707 1
C9 0.378 0.591 0.655 1
C10 0.402 0.527 0.514 1
C11 0.466 0.752 0.739 1
C12 0.516 0.626 0.458 1
C13 0.573 0.845 0.684 1
C14 0.601 0.786 0.543 1
C15 0.646 0.654 0.271 1
C16 0.688 0.480 0.860 1
C17 0.691 0.166 0.041 1
C18 0.713 0.878 0.484 1
C19 0.724 0.416 0.727 1
C20 0.725 0.129 0.173 1
C21 0.736 0.813 0.348 1
C22 0.758 0.643 0.933 1
C23 0.828 0.514 0.669 1
C24 0.857 0.458 0.528 1
C25 0.903 0.675 0.754 1
C26 0.956 0.557 0.476 1
N1 0.101 0.928 0.786 1
N2 0.321 0.375 0.432 1
N3 0.540 0.564 0.324 1
N4 0.866 0.735 0.884 1
O1 0.047 0.492 0.112 1
O2 0.112 0.794 0.190 1
O3 0.170 0.258 0.058 1
O4 0.225 0.049 0.174 1
O5 0.330 0.486 0.989 1
O6 0.387 0.836 0.058 1
O7 0.414 0.964 0.325 1
O8 0.579 0.245 0.038 1
O9 0.641 0.186 0.273 1
O10 0.781 0.116 0.945 1
O11 0.832 0.048 0.177 1
```

Results
Calculated density in g/cm³: 2.1


A geometry-optimized NiSnSb2 structure. Source: OQMD via LeMat-Bulk, functional PBE.

Structure (CIF):
```
data_NiSnSb2
_chemical_formula_sum 'Ni4 Sn4 Sb8'
_cell_length_a 7.141
_cell_length_b 7.141
_cell_length_c 7.141
_cell_angle_alpha 90.00
_cell_angle_beta 90.00
_cell_angle_gamma 90.00
_symmetry_space_group_name_H-M 'F -4 3 m'
_symmetry_Int_Tables_number 216
_symmetry_space_group_name_Hall 'F -4 2 3'
loop_
_atom_site_label
_atom_site_fract_x
_atom_site_fract_y
_atom_site_fract_z
_atom_site_occupancy
Ni1 0.000 0.000 0.000 1
Sn1 0.250 0.250 0.750 1
Sb1 0.000 0.000 0.500 1
Sb2 0.250 0.250 0.250 1
```

Results
Calculated density in g/cm³: 7.7
Total magnetization in μB/atom: 0.006


A geometry-optimized PuNpTl structure. Source: OQMD via LeMat-Bulk, functional PBE.

Structure (CIF):
```
data_PuNpTl
_chemical_formula_sum 'Pu4 Np4 Tl4'
_cell_length_a 7.306
_cell_length_b 7.306
_cell_length_c 7.306
_cell_angle_alpha 90.00
_cell_angle_beta 90.00
_cell_angle_gamma 90.00
_symmetry_space_group_name_H-M 'F -4 3 m'
_symmetry_Int_Tables_number 216
_symmetry_space_group_name_Hall 'F -4 2 3'
loop_
_atom_site_label
_atom_site_fract_x
_atom_site_fract_y
_atom_site_fract_z
_atom_site_occupancy
Pu1 0.000 0.000 0.000 1
Np1 0.000 0.000 0.500 1
Tl1 0.250 0.250 0.750 1
```

Results
Calculated density in g/cm³: 11.7
Total magnetization in μB/atom: 3.605
ΔE to the lowest computed polymorph in eV per atom: 0.000


A geometry-optimized Li2AlTc structure. Source: OQMD via LeMat-Bulk, functional PBE.

Structure (CIF):
```
data_Li2AlTc
_chemical_formula_sum 'Li8 Al4 Tc4'
_cell_length_a 6.023
_cell_length_b 6.023
_cell_length_c 6.023
_cell_angle_alpha 90.00
_cell_angle_beta 90.00
_cell_angle_gamma 90.00
_symmetry_space_group_name_H-M 'F -4 3 m'
_symmetry_Int_Tables_number 216
_symmetry_space_group_name_Hall 'F -4 2 3'
loop_
_atom_site_label
_atom_site_fract_x
_atom_site_fract_y
_atom_site_fract_z
_atom_site_occupancy
Li1 0.000 0.000 0.000 1
Li2 0.250 0.250 0.250 1
Al1 0.000 0.000 0.500 1
Tc1 0.250 0.250 0.750 1
```

Results
Calculated density in g/cm³: 4.2
Total magnetization in μB/atom: 0.188


A geometry-optimized HfScBi structure. Source: OQMD via LeMat-Bulk, functional PBE.

Structure (CIF):
```
data_HfScBi
_chemical_formula_sum 'Hf4 Sc4 Bi4'
_cell_length_a 6.974
_cell_length_b 6.974
_cell_length_c 6.974
_cell_angle_alpha 90.00
_cell_angle_beta 90.00
_cell_angle_gamma 90.00
_symmetry_space_group_name_H-M 'F -4 3 m'
_symmetry_Int_Tables_number 216
_symmetry_space_group_name_Hall 'F -4 2 3'
loop_
_atom_site_label
_atom_site_fract_x
_atom_site_fract_y
_atom_site_fract_z
_atom_site_occupancy
Hf1 0.000 0.000 0.000 1
Sc1 0.250 0.250 0.750 1
Bi1 0.000 0.000 0.500 1
```

Results
Calculated density in g/cm³: 8.5
Total magnetization in μB/atom: 0.956


A geometry-optimized La2Pm2O5 structure. Source: OQMD via LeMat-Bulk, functional PBE.

Structure (CIF):
```
data_La2Pm2O5
_chemical_formula_sum 'La2 Pm2 O5'
_cell_length_a 4.614
_cell_length_b 4.614
_cell_length_c 7.337
_cell_angle_alpha 90.00
_cell_angle_beta 90.00
_cell_angle_gamma 90.00
_symmetry_space_group_name_H-M 'P 4/m m m'
_symmetry_Int_Tables_number 123
_symmetry_space_group_name_Hall '-P 4 2'
loop_
_atom_site_label
_atom_site_fract_x
_atom_site_fract_y
_atom_site_fract_z
_atom_site_occupancy
La1 0.000 0.000 0.209 1
Pm1 0.500 0.500 0.000 1
Pm2 0.500 0.500 0.500 1
O1 0.000 0.000 0.500 1
O2 0.000 0.500 0.220 1
```

Results
Calculated density in g/cm³: 6.9
Total magnetization in μB/atom: 0.118
ΔE to the lowest computed polymorph in eV per atom: 0.210


A geometry-optimized Er2TmCd3In3 structure. Source: OQMD via LeMat-Bulk, functional PBE.

Structure (CIF):
```
data_Er2TmCd3In3
_chemical_formula_sum 'Er4 Tm2 Cd6 In6'
_cell_length_a 4.600
_cell_length_b 12.895
_cell_length_c 7.457
_cell_angle_alpha 90.00
_cell_angle_beta 90.00
_cell_angle_gamma 90.00
_symmetry_space_group_name_H-M 'A m m 2'
_symmetry_Int_Tables_number 38
_symmetry_space_group_name_Hall 'A 2 -2'
loop_
_atom_site_label
_atom_site_fract_x
_atom_site_fract_y
_atom_site_fract_z
_atom_site_occupancy
Er1 0.000 0.218 0.000 1
Tm1 0.000 0.000 0.347 1
Cd1 0.500 0.000 0.029 1
Cd2 0.500 0.123 0.659 1
In1 0.000 0.000 0.782 1
In2 0.500 0.166 0.282 1
```

Results
Calculated density in g/cm³: 8.9
Total magnetization in μB/atom: 0.000


A geometry-optimized ZrGa2Au structure. Source: OQMD via LeMat-Bulk, functional PBE.

Structure (CIF):
```
data_ZrGa2Au
_chemical_formula_sum 'Zr4 Ga8 Au4'
_cell_length_a 6.674
_cell_length_b 6.674
_cell_length_c 6.674
_cell_angle_alpha 90.00
_cell_angle_beta 90.00
_cell_angle_gamma 90.00
_symmetry_space_group_name_H-M 'F -4 3 m'
_symmetry_Int_Tables_number 216
_symmetry_space_group_name_Hall 'F -4 2 3'
loop_
_atom_site_label
_atom_site_fract_x
_atom_site_fract_y
_atom_site_fract_z
_atom_site_occupancy
Zr1 0.000 0.000 0.000 1
Ga1 0.000 0.000 0.500 1
Ga2 0.250 0.250 0.250 1
Au1 0.250 0.250 0.750 1
```

Results
Calculated density in g/cm³: 9.6
Total magnetization in μB/atom: 0.003


The following calculated total energy values (in eV per cell) correspond, in order, to the records above: -55.848, -95.816, -435.566, -65.072, -109.320, -70.057, -75.641, -65.709, -55.714, -75.108.